Material: TbY2Ag
Method: DFT, PBE-GGA
State: optimized geometry

abc: 3.444 3.444 11.720
angles: 81.55 81.55 60.00
Fractional coordinates of all 4 atoms:
Y 0.097 0.097 0.708
Y 0.903 0.903 0.292
Tb 0.000 0.000 0.000
Ag 0.500 0.500 0.500

Values from the calculation:
symmetry	No. 166
calculated volume	119	Å³/cell
mass density	6.22	g/cm3
ΔE to the lowest computed polymorph	343	meV per atom

***

Material: FeSi2Au
Method: DFT, PBE-GGA
State: optimized geometry

abc: 4.065 4.065 3.407
angles: 90.00 90.00 89.97
Fractional coordinates of all 4 atoms:
Au 0.500 0.000 0.500
Fe 0.000 0.500 0.500
Si 0.000 0.000 0.000
Si 0.500 0.500 0.000

Values from the calculation:
symmetry	No. 123
calculated volume	56	Å³/cell
mass density	9.11	g/cm3
raw formation energy	0.235	eV/atom
ΔE to the lowest computed polymorph	316	meV per atom